La2MgVO6, optimized geometry, DFT PBE with a Hubbard U; raw total energy = -78.13 eV/cell; SG = No. 148; crystal system = trigonal; Fermi-level density of states = 0.000 states/eV/cell; size of the total moment = 1.0 μB/cell
1.0
2.8170 1.6264 4.4659
-2.8170 1.6264 4.4659
0.0000 -3.2528 4.4659
La Mg V O
2 1 1 6
direct
0.2504 0.2504 0.2504
0.7496 0.7496 0.7496
0.0000 0.0000 0.0000
0.5000 0.5000 0.5000
0.1833 0.7424 0.3310
0.2576 0.6690 0.8167
0.3310 0.1833 0.7424
0.6690 0.8167 0.2576
0.7424 0.3310 0.1833
0.8167 0.2576 0.6690